Entry 1:
First-principles (PBE) data for a relaxed Ca3AcPt crystal, as listed in Alexandria.

Values from the calculation:
Energy of formation from the pure elements   -1.77 eV/f.u.
Density of states at the Fermi level   3.8 states/eV per cell
Symmetry   No. 221
Mass density   4.9 g cm⁻³
Magnetization   0.0 μB/f.u.

Cell: 5.681 5.681 5.681 Å, 90.00 90.00 90.00°
Fractional positions:
Ac (0.500, 0.500, 0.500)
Ca (0.000, 0.500, 0.000)
Ca (0.000, 0.000, 0.500)
Ca (0.500, 0.000, 0.000)
Pt (0.000, 0.000, 0.000)

=====

Entry 2:
First-principles (PBE) data for a relaxed KSb2Rh crystal, as listed in Alexandria.

Values from the calculation:
Formation energy from raw total energies   0.23 eV per atom
Density of states at the Fermi level   2.6 states/eV per cell
Symmetry   No. 123
Mass density   6.8 g cm⁻³
Magnetization   0.0 μB/f.u.

Cell: 4.580 4.577 4.485 Å, 90.00 90.00 90.00°
Fractional positions:
K (0.500, 0.000, 0.500)
Rh (0.000, 0.500, 0.500)
Sb (0.000, 0.000, 0.000)
Sb (0.500, 0.500, 0.000)

=====

Entry 3:
First-principles (PBE) data for a relaxed Li2AcMgPd4 crystal, as listed in Alexandria.

Values from the calculation:
Energy of formation from the pure elements   -4.83 eV/f.u.
Density of states at the Fermi level   3.4 states/eV per cell
Symmetry   No. 166
Mass density   7.8 g cm⁻³
Magnetization   0.0 μB/f.u.

Cell: 4.386 4.386 9.131 Å, 76.10 76.10 60.00°
Fractional positions:
Li (0.768, 0.768, 0.697)
Li (0.232, 0.232, 0.303)
Ac (0.000, 0.000, 0.000)
Mg (0.500, 0.500, 0.500)
Pd (0.400, 0.400, 0.799)
Pd (0.872, 0.872, 0.384)
Pd (0.128, 0.128, 0.616)
Pd (0.600, 0.600, 0.201)